The following is a DFT calculation (GGA-PBE) of crystalline Sn3AsSeI at its relaxed geometry.

The value obtained for the raw formation energy is -0.2579 eV/atom. Its total energy is -46.48 eV per cell. Its crystal system is monoclinic.

It has space group P2_1/m (No. 11), with a = 9.335 Å, b = 4.282 Å, c = 9.427 Å, α = 90.00°, β = 101.76° and γ = 90.00°. The inequivalent atoms are Sn at (0.019, 0.250, 0.364), Sn at (0.196, 0.250, 0.025), Sn at (0.405, 0.750, 0.300), As at (0.060, 0.750, 0.182), Se at (0.329, 0.250, 0.466) and I at (0.331, 0.750, 0.835).